(1)
# BaErTe2

A relaxed BaErTe2 crystal (PBE, Alexandria).

Values from the calculation:
- relative energy among the computed polymorphs (eV per atom) = 0.0000

Cell: 4.5478 4.5478 8.2460 Å, 73.99 73.99 60.00°
Fractional coordinates of all 4 atoms:
Te: 0.7374 0.7374 0.7877
Ba: 0.5000 0.5000 0.5000
Er: 0.0000 0.0000 0.0000
Te: 0.2626 0.2626 0.2123

=====

(2)
# BaEr2Te4

A relaxed BaEr2Te4 crystal (PBE, Alexandria).

Values from the calculation:
- relative energy among the computed polymorphs (eV per atom) = 0.0298

Cell: 4.4782 7.6115 15.2991 Å, 90.00 90.00 107.11°
Fractional coordinates of all 14 atoms:
Te: 0.9329 0.8658 0.7500
Te: 0.2314 0.4628 0.8879
Er: 0.8656 0.7312 0.5659
Te: 0.0671 0.1342 0.2500
Te: 0.5000 0.0000 0.5000
Te: 0.2314 0.4628 0.6121
Te: 0.7686 0.5372 0.1121
Te: 0.7686 0.5372 0.3879
Er: 0.8656 0.7312 0.9341
Er: 0.1344 0.2688 0.4341
Er: 0.1344 0.2688 0.0659
Ba: 0.6109 0.2218 0.7500
Ba: 0.3891 0.7782 0.2500
Te: 0.5000 0.0000 0.0000

=====

(3)
# BaErTe2

A relaxed BaErTe2 crystal (PBE, Alexandria).

Values from the calculation:
- relative energy among the computed polymorphs (eV per atom) = 0.0348

Cell: 4.4724 4.4724 8.5343 Å, 74.81 74.81 60.00°
Fractional coordinates of all 4 atoms:
Er: 0.6692 0.6692 0.9925
Te: 0.2634 0.2634 0.2098
Te: 0.0704 0.0704 0.7887
Ba: 0.4970 0.4970 0.5090

=====

(4)
# Ba2Er3Te6

A relaxed Ba2Er3Te6 crystal (PBE, Alexandria).

Values from the calculation:
- DFT total energy (eV/cell) = -53.0

Cell: 7.7048 7.7089 8.4139 Å, 81.16 72.10 60.02°
Fractional coordinates of all 11 atoms:
Te: 0.0773 0.3282 0.7847
Te: 0.7332 0.0000 0.7866
Te: 0.2668 0.0000 0.2134
Er: 0.6687 0.6627 0.0000
Ba: 0.1659 0.6682 0.5000
Te: 0.5945 0.3282 0.2153
Er: 0.0000 0.0000 0.0000
Te: 0.9227 0.6718 0.2153
Te: 0.4055 0.6718 0.7847
Er: 0.3313 0.3373 0.0000
Ba: 0.8341 0.3318 0.5000